No. 1
First-principles (PBE) data for an optimized crystal structure of PrPd6Au2, as listed in Alexandria via LeMat-Bulk.

Geometry as CIF:
```
data_PrPd6Au2
_cell_length_a 8.957
_cell_length_b 8.957
_cell_length_c 8.957
_cell_angle_alpha 90.00
_cell_angle_beta 90.00
_cell_angle_gamma 90.00
_space_group_name_H-M_alt 'F m -3 m'
_space_group_IT_number 225
_space_group_name_Hall '-F 4 2 3'
loop_
_atom_site_label
_atom_site_type_symbol
_atom_site_fract_x
_atom_site_fract_y
_atom_site_fract_z
Pr1 Pr 0.000 0.000 0.000
Pd1 Pd 0.000 0.000 0.287
Au1 Au 0.250 0.250 0.250
```

Calculated values
- Energy of formation: 0.1859 eV/atom
- Spin magnetization: 0.00 μB/f.u.

No. 2
First-principles (PBE) data for an optimized crystal structure of Pm8ZnSi2, as listed in Alexandria via LeMat-Bulk.

Geometry as CIF:
```
data_Pm8ZnSi2
_cell_length_a 19.053
_cell_length_b 4.920
_cell_length_c 6.901
_cell_angle_alpha 90.00
_cell_angle_beta 104.09
_cell_angle_gamma 90.00
_space_group_name_H-M_alt 'C 1 2/m 1'
_space_group_IT_number 12
_space_group_name_Hall '-C 2y'
loop_
_atom_site_label
_atom_site_type_symbol
_atom_site_fract_x
_atom_site_fract_y
_atom_site_fract_z
Pm1 Pm 0.025 0.000 0.277
Pm2 Pm 0.094 0.500 0.980
Pm3 Pm 0.163 0.500 0.490
Pm4 Pm 0.211 0.000 0.828
Zn1 Zn 0.000 0.500 0.500
Si1 Si 0.183 0.000 0.247
```

Calculated values
- E_form (uncorrected): -0.2704 eV/atom
- Spin magnetization: 0.00 μB/f.u.

No. 3
First-principles (PBE) data for an optimized crystal structure of CePd4Pt, as listed in Alexandria via LeMat-Bulk.

Geometry as CIF:
```
data_CePd4Pt
_cell_length_a 5.025
_cell_length_b 8.788
_cell_length_c 4.942
_cell_angle_alpha 90.00
_cell_angle_beta 109.38
_cell_angle_gamma 90.00
_space_group_name_H-M_alt 'C 1 2/m 1'
_space_group_IT_number 12
_space_group_name_Hall '-C 2y'
loop_
_atom_site_label
_atom_site_type_symbol
_atom_site_fract_x
_atom_site_fract_y
_atom_site_fract_z
Ce1 Ce 0.000 0.000 0.000
Pd1 Pd 0.000 0.173 0.500
Pd2 Pd 0.000 0.336 0.000
Pt1 Pt 0.000 0.500 0.500
```

Calculated values
- Energy of formation: -0.5844 eV/atom
- Spin magnetization: 0.00 μB/f.u.

What did the first record say?
First-principles (PBE) data for an optimized crystal structure of PrPd6Au2, as listed in Alexandria via LeMat-Bulk.

Geometry as CIF:
```
data_PrPd6Au2
_cell_length_a 8.957
_cell_length_b 8.957
_cell_length_c 8.957
_cell_angle_alpha 90.00
_cell_angle_beta 90.00
_cell_angle_gamma 90.00
_space_group_name_H-M_alt 'F m -3 m'
_space_group_IT_number 225
_space_group_name_Hall '-F 4 2 3'
loop_
_atom_site_label
_atom_site_type_symbol
_atom_site_fract_x
_atom_site_fract_y
_atom_site_fract_z
Pr1 Pr 0.000 0.000 0.000
Pd1 Pd 0.000 0.000 0.287
Au1 Au 0.250 0.250 0.250
```

Calculated values
- Energy of formation: 0.1859 eV/atom
- Spin magnetization: 0.00 μB/f.u.

What is the formula in the first record?
PrPd6Au2

What is the spin magnetization in the first record?
0.00 μB/f.u.

What is the spin magnetization in the third record?
0.00 μB/f.u.